Below is crystalline BiSbPd2 at its relaxed geometry, with properties calculated at the PBE level.

```
BiSbPd2
1.0
-1.9335 -4.1174 0.3502
0.6602 -2.5190 3.7461
-4.3133 -0.2133 3.3948
Sb Bi Pd
1 1 2
direct
0.0000 0.0000 0.0000 Sb
0.5000 0.5000 0.5000 Bi
0.2824 0.2824 0.1528 Pd
0.7176 0.7176 0.8472 Pd
```

The calculation puts the total magnetization at 0.0 μB/f.u. The value obtained for the total energy is -19.5 eV for the cell shown.